1.
Entry from Alexandria: crystalline BaVPCl2 at its relaxed geometry (PBE).

Summary:
Total magnetic moment: 2.00 μB/f.u.
Uncorrected energy: -5.197 eV/atom

Unit cell a=5.000 b=5.000 c=4.787 alpha=90.00 beta=90.00 gamma=90.00
Positions (direct):
1 Ba 0.000 0.000 0.000
2 V 0.500 0.500 0.500
3 P 0.500 0.500 0.000
4 Cl 0.000 0.500 0.500
5 Cl 0.500 0.000 0.500

2.
Entry from Alexandria: crystalline BaP2WCl at its relaxed geometry (PBE).

Summary:
Total magnetic moment: 1.01 μB/f.u.
Uncorrected energy: -3.817 eV/atom

Unit cell a=6.183 b=6.183 c=5.671 alpha=90.00 beta=90.00 gamma=90.00
Positions (direct):
1 Ba 0.000 0.000 0.000
2 P 0.000 0.500 0.000
3 P 0.500 0.000 0.000
4 W 0.500 0.500 0.500
5 Cl 0.000 0.000 0.500

3.
Entry from Alexandria: crystalline BaP2WCl at its relaxed geometry (PBE).

Summary:
Total magnetic moment: 0.49 μB/f.u.
Uncorrected energy: -6.088 eV/atom

Unit cell a=4.728 b=4.728 c=5.305 alpha=90.00 beta=90.00 gamma=90.00
Positions (direct):
1 Ba 0.000 0.000 0.000
2 P 0.000 0.500 0.500
3 P 0.500 0.000 0.500
4 W 0.500 0.500 0.500
5 Cl 0.500 0.500 0.000

4.
Entry from Alexandria: crystalline BaZnPCl2 at its relaxed geometry (PBE).

Summary:
Total magnetic moment: 1.00 μB/f.u.
Uncorrected energy: -3.457 eV/atom

Unit cell a=5.190 b=5.190 c=4.753 alpha=90.00 beta=90.00 gamma=90.00
Positions (direct):
1 Ba 0.000 0.000 0.000
2 Zn 0.500 0.500 0.500
3 P 0.500 0.500 0.000
4 Cl 0.000 0.500 0.500
5 Cl 0.500 0.000 0.500

5.
Entry from Alexandria: crystalline BaZnP2Cl at its relaxed geometry (PBE).

Summary:
Total magnetic moment: 5.00 μB/f.u.
Uncorrected energy: -2.693 eV/atom

Unit cell a=6.593 b=6.593 c=5.930 alpha=90.00 beta=90.00 gamma=90.00
Positions (direct):
1 Ba 0.000 0.000 0.000
2 Zn 0.500 0.500 0.500
3 P 0.000 0.500 0.000
4 P 0.500 0.000 0.000
5 Cl 0.000 0.000 0.500

6.
Entry from Alexandria: crystalline BaZnP2Cl at its relaxed geometry (PBE).

Summary:
Total magnetic moment: 0.06 μB/f.u.
Uncorrected energy: -3.690 eV/atom

Unit cell a=4.613 b=4.613 c=5.975 alpha=90.00 beta=90.00 gamma=90.00
Positions (direct):
1 Ba 0.000 0.000 0.000
2 Zn 0.500 0.500 0.500
3 P 0.000 0.500 0.500
4 P 0.500 0.000 0.500
5 Cl 0.500 0.500 0.000

7.
Entry from Alexandria: crystalline BaZnPCl2 at its relaxed geometry (PBE).

Summary:
Total magnetic moment: 3.03 μB/f.u.
Uncorrected energy: -2.873 eV/atom

Unit cell a=5.932 b=5.932 c=7.560 alpha=90.00 beta=90.00 gamma=90.00
Positions (direct):
1 Ba 0.000 0.000 0.000
2 Zn 0.500 0.500 0.500
3 P 0.000 0.000 0.500
4 Cl 0.000 0.500 0.000
5 Cl 0.500 0.000 0.000

8.
Entry from Alexandria: crystalline Ba2ZrPCl at its relaxed geometry (PBE).

Summary:
Total magnetic moment: 1.58 μB/f.u.
Uncorrected energy: -4.157 eV/atom

Unit cell a=5.895 b=5.895 c=4.835 alpha=90.00 beta=90.00 gamma=90.00
Positions (direct):
1 Ba 0.000 0.500 0.000
2 Ba 0.500 0.000 0.000
3 Zr 0.000 0.000 0.500
4 P 0.500 0.500 0.500
5 Cl 0.000 0.000 0.000

9.
Entry from Alexandria: crystalline BaPaCl6 at its relaxed geometry (PBE).

Summary:
Total magnetic moment: 1.01 μB/f.u.
Uncorrected energy: -4.930 eV/atom

Unit cell a=7.391 b=7.391 c=7.458 alpha=115.95 beta=115.95 gamma=67.71
Positions (direct):
1 Ba 0.000 0.000 0.000
2 Pa 0.500 0.500 0.500
3 Cl 0.200 0.655 0.206
4 Cl 0.264 0.264 0.429
5 Cl 0.345 0.800 0.794
6 Cl 0.655 0.200 0.206
7 Cl 0.736 0.736 0.571
8 Cl 0.800 0.345 0.794

10.
Entry from Alexandria: crystalline BaPa2Cl11 at its relaxed geometry (PBE).

Summary:
Total magnetic moment: 1.00 μB/f.u.
Uncorrected energy: -4.930 eV/atom

Unit cell a=11.060 b=11.060 c=11.060 alpha=113.52 beta=113.47 gamma=101.69
Positions (direct):
1 Ba 0.250 0.250 0.000
2 Ba 0.750 0.750 0.000
3 Pa 0.162 0.663 0.825
4 Pa 0.338 0.163 0.500
5 Pa 0.662 0.837 0.500
6 Pa 0.838 0.337 0.175
7 Cl 0.000 0.500 0.500
8 Cl 0.074 0.358 0.168
9 Cl 0.094 0.927 0.285
10 Cl 0.142 0.427 0.833
11 Cl 0.190 0.906 0.832
12 Cl 0.194 0.308 0.502
13 Cl 0.306 0.808 0.114
14 Cl 0.310 0.142 0.716
15 Cl 0.358 0.191 0.285
16 Cl 0.406 0.691 0.833
17 Cl 0.426 0.594 0.284
18 Cl 0.500 0.000 0.500
19 Cl 0.574 0.406 0.716
20 Cl 0.594 0.309 0.167
21 Cl 0.642 0.809 0.715
22 Cl 0.690 0.858 0.284
23 Cl 0.694 0.192 0.886
24 Cl 0.806 0.692 0.498
25 Cl 0.810 0.094 0.168
26 Cl 0.858 0.573 0.167
27 Cl 0.906 0.073 0.715
28 Cl 0.926 0.642 0.832

11.
Entry from Alexandria: crystalline BaPaS3Cl at its relaxed geometry (PBE).

Summary:
Total magnetic moment: 0.00 μB/f.u.
Uncorrected energy: -6.051 eV/atom

Unit cell a=14.660 b=14.660 c=6.544 alpha=90.01 beta=90.01 gamma=163.16
Positions (direct):
1 Ba 0.056 0.944 0.750
2 Ba 0.944 0.056 0.250
3 Pa 0.284 0.716 0.250
4 Pa 0.716 0.284 0.750
5 S 0.207 0.793 0.001
6 S 0.207 0.793 0.499
7 S 0.373 0.627 0.250
8 S 0.627 0.373 0.750
9 S 0.793 0.207 0.501
10 S 0.793 0.207 0.999
11 Cl 0.474 0.526 0.750
12 Cl 0.526 0.474 0.250

12.
Entry from Alexandria: crystalline Ba3PbCl at its relaxed geometry (PBE).

Summary:
Total magnetic moment: 0.00 μB/f.u.
Uncorrected energy: -3.125 eV/atom

Unit cell a=5.995 b=5.995 c=5.995 alpha=90.00 beta=90.00 gamma=90.00
Positions (direct):
1 Ba 0.000 0.000 0.500
2 Ba 0.000 0.500 0.000
3 Ba 0.500 0.000 0.000
4 Pb 0.500 0.500 0.500
5 Cl 0.000 0.000 0.000

Question: Which formula does entry 12 have?
Answer: Ba3PbCl